(1)
{
  "formula": "FeNi2Rh",
  "functional": "PBE",
  "state": "optimized geometry",
  "delta_e_f_ev_per_atom": -0.0394,
  "dos_ef_per_ev_cell": 4.80,
  "cell": [[-1.834, 1.834, 3.615], [1.834, -1.834, 3.615], [1.834, 1.834, -3.615]],
  "species": ["Fe", "Ni", "Ni", "Rh"],
  "fractional_positions": [[0.000, 0.000, 0.000], [0.250, 0.750, 0.500], [0.500, 0.500, 0.000], [0.750, 0.250, 0.500]]
}

(2)
{
  "formula": "TbDyCu",
  "functional": "PBE",
  "state": "optimized geometry",
  "de_polymorph_mev_per_atom": 32.5,
  "delta_e_f_ev_per_atom": -0.1264,
  "dos_ef_per_ev_cell": 3.63,
  "cell": [[-1.739, 1.739, 6.177], [1.739, -1.739, 6.177], [1.739, 1.739, -6.177]],
  "species": ["Tb", "Dy", "Cu"],
  "fractional_positions": [[0.000, 0.000, 0.000], [0.279, 0.279, 0.000], [0.641, 0.641, 0.000]]
}